ErZnGa4Ni2 after structural relaxation, computed with GGA-PBE. Values from VASP.

Structure (Quantum ESPRESSO input):
```
&SYSTEM
  ibrav = 0, nat = 8, ntyp = 4
/
ATOMIC_SPECIES
Er 167.26 Er.upf
Zn 65.41 Zn.upf
Ga 69.72 Ga.upf
Ni 58.69 Ni.upf
CELL_PARAMETERS angstrom
2.069 1.195 8.664
-2.069 1.195 8.664
0.000 -2.389 8.664
ATOMIC_POSITIONS crystal
Er 0.000 0.000 0.000
Zn 0.500 0.500 0.500
Ga 0.122 0.122 0.122
Ga 0.398 0.398 0.398
Ga 0.602 0.602 0.602
Ga 0.878 0.878 0.878
Ni 0.234 0.234 0.234
Ni 0.766 0.766 0.766
```

Results
VASP energy ... -0.148 hartree per atom
Calculated formation energy ... -0.3270 eV per atom
Symmetry ... R-3m